1.
The following is a PBE calculation of crystalline Pr2AlHPd6 at its relaxed geometry, from Alexandria.

space-group type	P-1 (2)
DOS(E_F)	3.7	states/eV per cell
total energy	-55.0	eV/cell
crystal system	triclinic

abc: 5.799 6.886 6.910
angles: 49.78 65.25 90.05
Fractional coordinates of all 10 atoms:
Pr1 0.728 0.273 0.543
Pr2 0.272 0.727 0.457
Al1 0.000 0.000 0.000
H1 0.500 0.500 0.000
Pd1 0.270 0.230 0.461
Pd2 0.769 0.730 0.960
Pd3 0.271 0.730 0.961
Pd4 0.729 0.270 0.039
Pd5 0.231 0.270 0.040
Pd6 0.730 0.770 0.539

2.
The following is a PBE calculation of crystalline Mg4In3Pb2 at its relaxed geometry, from Alexandria.

space-group type	P-1 (2)
DOS(E_F)	2.7	states/eV per cell
formation energy	-0.0509	eV/atom
crystal system	triclinic

abc: 4.717 5.551 9.822
angles: 78.84 90.88 65.13
Fractional coordinates of all 9 atoms:
Mg1 0.664 0.671 0.887
Mg2 0.006 0.990 0.335
Mg3 0.994 0.010 0.665
Mg4 0.336 0.329 0.113
In1 0.343 0.322 0.442
In2 0.000 0.000 0.000
In3 0.657 0.678 0.558
Pb1 0.330 0.337 0.783
Pb2 0.670 0.663 0.217

3.
The following is a PBE calculation of crystalline Ba2TcHgO6 at its relaxed geometry, from Alexandria.

space-group type	R-3m (166)
DOS(E_F)	7.0	states/eV per cell
energy relative to the elements, uncorrected	-1.669	eV/atom
crystal system	trigonal

abc: 6.160 6.160 10.484
angles: 72.92 72.92 60.00
Last column: magnetic moment on the atom in μB.
Fractional coordinates of all 20 atoms:
Ba1 0.870 0.870 0.391  0.01
Ba2 0.130 0.130 0.609  0.01
Ba3 0.728 0.728 0.815  0.01
Ba4 0.272 0.272 0.185  0.01
Tc1 0.000 0.000 0.000  0.47
Tc2 0.500 0.500 0.500  1.01
Hg1 0.601 0.601 0.196  0.02
Hg2 0.399 0.399 0.804  0.02
O1 0.846 0.383 0.388  0.01
O2 0.383 0.846 0.388  0.01
O3 0.383 0.383 0.388  0.01
O4 0.154 0.617 0.612  0.01
O5 0.617 0.154 0.612  0.01
O6 0.617 0.617 0.612  0.01
O7 0.757 0.181 0.882  0.02
O8 0.181 0.757 0.882  0.02
O9 0.181 0.181 0.882  0.02
O10 0.243 0.819 0.118  0.02
O11 0.819 0.243 0.118  0.02
O12 0.819 0.819 0.118  0.02

4.
The following is a PBE calculation of crystalline RbNa2ScSi at its relaxed geometry, from Alexandria.

space-group type	P4/mmm (123)
DOS(E_F)	3.4	states/eV per cell
energy relative to the elements, uncorrected	1.110	eV/atom
crystal system	tetragonal

abc: 5.231 5.231 6.038
angles: 90.00 90.00 90.00
Fractional coordinates of all 5 atoms:
Sc1 0.500 0.500 0.500
Na1 0.000 0.500 0.000
Na2 0.500 0.000 0.000
Si1 0.000 0.000 0.500
Rb1 0.000 0.000 0.000

5.
The following is a PBE calculation of crystalline LaTlCd4 at its relaxed geometry, from Alexandria.

space-group type	Cmcm (63)
DOS(E_F)	8.4	states/eV per cell
formation energy	-0.2221	eV/atom
crystal system	orthorhombic

abc: 5.134 6.803 9.675
angles: 69.42 90.00 90.00
Fractional coordinates of all 12 atoms:
La1 0.750 0.119 0.262
La2 0.250 0.881 0.738
Tl1 0.750 0.626 0.247
Tl2 0.250 0.374 0.753
Cd1 0.250 0.791 0.414
Cd2 0.250 0.968 0.082
Cd3 0.750 0.705 0.586
Cd4 0.750 0.550 0.918
Cd5 0.750 0.209 0.586
Cd6 0.250 0.295 0.414
Cd7 0.750 0.032 0.918
Cd8 0.250 0.450 0.082

6.
The following is a PBE calculation of crystalline PuInI4 at its relaxed geometry, from Alexandria.

space-group type	C2/m (12)
DOS(E_F)	14.1	states/eV per cell
energy relative to the elements, uncorrected	-0.861	eV/atom
crystal system	monoclinic

abc: 4.597 9.036 8.657
angles: 121.76 90.00 104.74
Last column: magnetic moment on the atom in μB.
Fractional coordinates of all 6 atoms:
Pu1 0.500 0.000 0.500  5.20
In1 0.000 0.000 0.000  -0.02
I1 0.380 0.761 0.080  -0.06
I2 0.119 0.237 0.484  -0.06
I3 0.620 0.239 0.920  -0.06
I4 0.881 0.763 0.516  -0.06

7.
The following is a PBE calculation of crystalline NaCd2Hg3 at its relaxed geometry, from Alexandria.

space-group type	Pmmn (59)
DOS(E_F)	3.7	states/eV per cell
formation energy	-0.0998	eV/atom
crystal system	orthorhombic

abc: 3.883 5.099 14.877
angles: 90.00 90.00 90.00
Fractional coordinates of all 12 atoms:
Na1 0.002 0.500 0.500
Na2 0.998 0.000 0.000
Cd1 0.001 0.000 0.664
Cd2 0.001 0.000 0.336
Cd3 0.999 0.500 0.164
Cd4 0.999 0.500 0.836
Hg1 0.501 0.500 0.670
Hg2 0.502 0.000 0.500
Hg3 0.501 0.500 0.330
Hg4 0.499 0.000 0.170
Hg5 0.498 0.500 0.000
Hg6 0.499 0.000 0.830

8.
The following is a PBE calculation of crystalline CsVHgBr6 at its relaxed geometry, from Alexandria.

space-group type	P312 (149)
DOS(E_F)	8.7	states/eV per cell
energy relative to the elements, uncorrected	-0.919	eV/atom
crystal system	trigonal

abc: 7.145 7.145 8.021
angles: 90.01 89.99 59.99
Last column: magnetic moment on the atom in μB.
Fractional coordinates of all 9 atoms:
Cs1 0.000 0.000 0.000  0.00
V1 0.667 0.667 0.500  1.85
Hg1 0.333 0.333 0.500  0.04
Br1 0.966 0.389 0.313  -0.02
Br2 0.389 0.966 0.687  -0.02
Br3 0.644 0.390 0.687  -0.02
Br4 0.966 0.644 0.687  -0.02
Br5 0.389 0.644 0.313  -0.02
Br6 0.644 0.966 0.313  -0.02

9.
The following is a PBE calculation of crystalline Cr2NiIr at its relaxed geometry, from Alexandria.

space-group type	P2/m (10)
DOS(E_F)	4.3	states/eV per cell
formation energy	0.0050	eV/atom
crystal system	monoclinic

abc: 2.730 4.340 5.248
angles: 54.35 90.00 90.00
Last column: magnetic moment on the atom in μB.
Fractional coordinates of all 4 atoms:
Cr1 0.000 0.000 0.000  -1.81
Cr2 0.500 0.500 0.000  1.87
Ir1 0.500 0.500 0.500  0.06
Ni1 0.000 0.000 0.500  -0.02

10.
The following is a PBE calculation of crystalline Ga3HgC at its relaxed geometry, from Alexandria.

space-group type	Pm-3m (221)
DOS(E_F)	4.1	states/eV per cell
formation energy	0.6609	eV/atom
crystal system	cubic

abc: 4.450 4.450 4.450
angles: 90.00 90.00 90.00
Fractional coordinates of all 5 atoms:
C1 0.000 0.000 0.000
Hg1 0.500 0.500 0.500
Ga1 0.000 0.500 0.000
Ga2 0.000 0.000 0.500
Ga3 0.500 0.000 0.000

11.
The following is a PBE calculation of crystalline Er3PtBr3 at its relaxed geometry, from Alexandria.

space-group type	R-3 (148)
DOS(E_F)	5.6	states/eV per cell
energy relative to the elements, uncorrected	-1.431	eV/atom
crystal system	trigonal

abc: 6.777 6.777 11.676
angles: 73.13 73.13 60.00
Fractional coordinates of all 14 atoms:
Er1 0.951 0.291 0.148
Er2 0.611 0.951 0.148
Er3 0.291 0.611 0.148
Er4 0.709 0.389 0.852
Er5 0.389 0.049 0.852
Er6 0.049 0.709 0.852
Pt1 0.667 0.667 0.000
Pt2 0.333 0.333 0.000
Br1 0.221 0.893 0.321
Br2 0.565 0.221 0.321
Br3 0.893 0.565 0.321
Br4 0.107 0.435 0.679
Br5 0.435 0.779 0.679
Br6 0.779 0.107 0.679

12.
The following is a PBE calculation of crystalline Sr3ZrZn at its relaxed geometry, from Alexandria.

space-group type	Pm-3m (221)
DOS(E_F)	6.9	states/eV per cell
formation energy	0.5705	eV/atom
crystal system	cubic

abc: 5.984 5.984 5.984
angles: 90.00 90.00 90.00
Last column: magnetic moment on the atom in μB.
Fractional coordinates of all 5 atoms:
Sr1 0.000 0.500 0.000  0.02
Sr2 0.000 0.000 0.500  0.04
Sr3 0.500 0.000 0.000  0.02
Zn1 0.000 0.000 0.000  -0.06
Zr1 0.500 0.500 0.500  1.50

13.
The following is a PBE calculation of crystalline HfGaSN2 at its relaxed geometry, from Alexandria.

space-group type	P4/mmm (123)
DOS(E_F)	2.7	states/eV per cell
energy relative to the elements, uncorrected	0.484	eV/atom
crystal system	tetragonal

abc: 3.805 3.805 4.728
angles: 90.00 90.00 90.00
Last column: magnetic moment on the atom in μB.
Fractional coordinates of all 5 atoms:
S1 0.000 0.000 0.500  0.00
Hf1 0.500 0.500 0.500  -0.01
Ga1 0.000 0.000 0.000  0.01
N1 0.000 0.500 0.000  0.08
N2 0.500 0.000 0.000  0.08

14.
The following is a PBE calculation of crystalline Pm5DySn3 at its relaxed geometry, from Alexandria.

space-group type	P6_3/mcm (193)
DOS(E_F)	18.6	states/eV per cell
formation energy	-0.5649	eV/atom
crystal system	hexagonal

abc: 6.706 9.552 9.552
angles: 120.00 90.00 90.00
Last column: magnetic moment on the atom in μB.
Fractional coordinates of all 18 atoms:
Pm1 0.000 0.667 0.333  0.27
Pm2 0.500 0.333 0.667  0.27
Pm3 0.000 0.333 0.667  0.27
Pm4 0.500 0.667 0.333  0.27
Pm5 0.750 0.668 0.668  0.22
Pm6 0.750 0.000 0.332  0.22
Pm7 0.750 0.332 0.000  0.22
Pm8 0.250 0.332 0.332  0.22
Pm9 0.250 0.000 0.668  0.22
Pm10 0.250 0.668 0.000  0.22
Dy1 0.000 0.000 0.000  0.46
Dy2 0.500 0.000 0.000  0.46
Sn1 0.750 0.333 0.333  -0.02
Sn2 0.750 0.000 0.667  -0.02
Sn3 0.750 0.667 0.000  -0.02
Sn4 0.250 0.667 0.667  -0.02
Sn5 0.250 0.000 0.333  -0.02
Sn6 0.250 0.333 0.000  -0.02

15.
The following is a PBE calculation of crystalline PrYN2 at its relaxed geometry, from Alexandria.

space-group type	R3m (160)
energy relative to the elements, uncorrected	-1.213	eV/atom
crystal system	trigonal

abc: 3.527 3.527 6.450
angles: 74.13 74.13 60.00
Fractional coordinates of all 4 atoms:
Pr1 0.672 0.672 0.985
Y1 0.501 0.501 0.496
N1 0.083 0.083 0.752
N2 0.244 0.244 0.268

16.
The following is a PBE calculation of crystalline SnHPt at its relaxed geometry, from Alexandria.

space-group type	C2/m (12)
DOS(E_F)	1.4	states/eV per cell
total energy	-27.4	eV/cell
crystal system	monoclinic

abc: 4.104 3.920 7.589
angles: 88.16 90.00 121.56
Fractional coordinates of all 6 atoms:
H1 0.896 0.792 0.099
H2 0.104 0.208 0.901
Sn1 0.499 0.998 0.307
Sn2 0.501 0.002 0.693
Pt1 0.837 0.673 0.877
Pt2 0.163 0.327 0.123

17.
The following is a PBE calculation of crystalline NbZnPt4 at its relaxed geometry, from Alexandria.

space-group type	P2/m (10)
DOS(E_F)	2.6	states/eV per cell
formation energy	-0.3811	eV/atom
crystal system	monoclinic

abc: 5.602 5.602 7.943
angles: 110.61 110.61 90.00
Fractional coordinates of all 12 atoms:
Nb1 0.500 0.000 0.500
Nb2 0.000 0.500 0.500
Zn1 0.750 0.750 0.000
Zn2 0.250 0.250 0.000
Pt1 0.622 0.622 0.244
Pt2 0.622 0.122 0.244
Pt3 0.122 0.622 0.244
Pt4 0.122 0.122 0.244
Pt5 0.378 0.878 0.756
Pt6 0.378 0.378 0.756
Pt7 0.878 0.878 0.756
Pt8 0.878 0.378 0.756

18.
The following is a PBE calculation of crystalline Ba2ThSe4 at its relaxed geometry, from Alexandria.

space-group type	Pbam (55)
DOS(E_F)	0.0	states/eV per cell
energy relative to the elements, uncorrected	-1.952	eV/atom
crystal system	orthorhombic

abc: 4.576 8.133 13.171
angles: 90.00 90.00 90.00
Fractional coordinates of all 14 atoms:
Ba1 0.500 0.916 0.818
Ba2 0.500 0.084 0.182
Ba3 0.500 0.416 0.682
Ba4 0.500 0.584 0.318
Th1 0.000 0.000 0.500
Th2 0.000 0.500 0.000
Se1 0.000 0.633 0.798
Se2 0.000 0.367 0.202
Se3 0.000 0.133 0.702
Se4 0.000 0.867 0.298
Se5 0.500 0.777 0.549
Se6 0.500 0.223 0.451
Se7 0.500 0.723 0.049
Se8 0.500 0.277 0.951

19.
The following is a PBE calculation of crystalline Ba2Sb2Se at its relaxed geometry, from Alexandria.

space-group type	P4/mbm (127)
DOS(E_F)	5.9	states/eV per cell
energy relative to the elements, uncorrected	-0.950	eV/atom
crystal system	tetragonal

abc: 8.784 8.784 5.295
angles: 90.00 90.00 90.00
Fractional coordinates of all 10 atoms:
Sb1 0.110 0.610 0.500
Sb2 0.610 0.890 0.500
Sb3 0.890 0.390 0.500
Sb4 0.390 0.110 0.500
Ba1 0.317 0.817 0.000
Ba2 0.817 0.683 0.000
Ba3 0.683 0.183 0.000
Ba4 0.183 0.317 0.000
Se1 0.000 0.000 0.000
Se2 0.500 0.500 0.000

20.
The following is a PBE calculation of crystalline Er5PaP6 at its relaxed geometry, from Alexandria.

space-group type	C2/m (12)
DOS(E_F)	3.5	states/eV per cell
formation energy	-1.5795	eV/atom
crystal system	monoclinic

abc: 6.863 6.863 6.859
angles: 99.57 99.57 120.02
Fractional coordinates of all 12 atoms:
P1 0.413 0.083 0.249
P2 0.917 0.587 0.751
P3 0.247 0.247 0.752
P4 0.753 0.753 0.248
P5 0.083 0.413 0.249
P6 0.587 0.917 0.751
Pa1 0.000 0.000 0.000
Er1 0.832 0.168 0.500
Er2 0.666 0.334 0.000
Er3 0.500 0.500 0.500
Er4 0.334 0.666 0.000
Er5 0.168 0.832 0.500